(one)
{"formula": "La3Dy3Y5", "functional": "GGA-PBE", "state": "relaxed", "spacegroup": "No. 189", "magnetic_moment_mub_per_cell": 0.00, "lattice": [[9.7289, 0.0000, 0.0000], [-4.8645, 8.4255, 0.0000], [0.0000, 0.0000, 5.2633]], "species": ["La", "La", "La", "Dy", "Dy", "Dy", "Y", "Y", "Y", "Y", "Y"], "fractional_positions": [[0.0000, 0.6393, 0.0000], [0.3607, 0.3607, 0.0000], [0.6393, 0.0000, 0.0000], [0.0000, 0.4804, 0.5000], [0.4804, 0.0000, 0.5000], [0.5196, 0.5196, 0.5000], [0.0000, 0.2657, 0.0000], [0.2657, 0.0000, 0.0000], [0.3333, 0.6667, 0.0000], [0.6667, 0.3333, 0.0000], [0.7343, 0.7343, 0.0000]]}



(two)
{"formula": "La3Dy3Y5", "functional": "GGA-PBE", "state": "relaxed", "spacegroup": "No. 189", "magnetic_moment_mub_per_cell": 0.03, "lattice": [[9.6194, 0.0000, 0.0000], [-4.8097, 8.3307, 0.0000], [0.0000, 0.0000, 5.6414]], "species": ["La", "La", "La", "Dy", "Dy", "Dy", "Y", "Y", "Y", "Y", "Y"], "fractional_positions": [[0.0000, 0.3945, 0.0000], [0.3945, 0.0000, 0.0000], [0.6055, 0.6055, 0.0000], [0.0000, 0.2502, 0.5000], [0.2502, 0.0000, 0.5000], [0.7498, 0.7498, 0.5000], [0.0000, 0.6229, 0.5000], [0.3333, 0.6667, 0.5000], [0.3771, 0.3771, 0.5000], [0.6229, 0.0000, 0.5000], [0.6667, 0.3333, 0.5000]]}



Least stable of them? (one).